# 1
Entry from Alexandria: crystalline TiNb3C at its relaxed geometry (PBE).

V, A^3/atom: 16.355
Formation enthalpy at 0 K, eV/atom: -0.12
ΔE to the lowest computed polymorph, eV per atom: 0.000
Density of states at the Fermi level, states/eV per cell: 5.6

a b c (Å): 4.340 4.340 4.340
angles (deg): 90.00 90.00 90.00
Sites, in units of the cell vectors:
Nb (0.000, 0.500, 0.000)
Nb (0.000, 0.000, 0.500)
Nb (0.500, 0.000, 0.000)
C (0.000, 0.000, 0.000)
Ti (0.500, 0.500, 0.500)



# 2
Entry from Alexandria: crystalline TiNbC2 at its relaxed geometry (PBE).

V, A^3/atom: 10.832
Formation enthalpy at 0 K, eV/atom: -0.67
ΔE to the lowest computed polymorph, eV per atom: 0.000
Density of states at the Fermi level, states/eV per cell: 1.3

a b c (Å): 5.414 5.414 5.414
angles (deg): 33.62 33.62 33.62
Sites, in units of the cell vectors:
Nb (0.000, 0.000, 0.000)
C (0.752, 0.752, 0.752)
C (0.248, 0.248, 0.248)
Ti (0.500, 0.500, 0.500)



# 3
Entry from Alexandria: crystalline TiNb8C2 at its relaxed geometry (PBE).

V, A^3/atom: 16.198
Formation enthalpy at 0 K, eV/atom: 0.13
Density of states at the Fermi level, states/eV per cell: 8.1

a b c (Å): 4.700 7.782 7.782
angles (deg): 41.04 73.60 73.60
Sites, in units of the cell vectors:
Ti (0.000, 0.000, 0.000)
Nb (0.395, 0.334, 0.858)
Nb (0.605, 0.142, 0.666)
Nb (0.225, 0.775, 0.775)
Nb (0.775, 0.225, 0.225)
Nb (0.395, 0.858, 0.334)
Nb (0.605, 0.666, 0.142)
Nb (0.876, 0.614, 0.614)
Nb (0.124, 0.386, 0.386)
C (0.732, 0.769, 0.769)
C (0.268, 0.231, 0.231)



# 4
Entry from Alexandria: crystalline TiNbC2 at its relaxed geometry (PBE).

V, A^3/atom: 11.175
Formation enthalpy at 0 K, eV/atom: -0.40
ΔE to the lowest computed polymorph, eV per atom: 0.270
Density of states at the Fermi level, states/eV per cell: 2.6

a b c (Å): 3.110 3.110 5.632
angles (deg): 73.97 73.97 60.00
Sites, in units of the cell vectors:
Ti (0.495, 0.495, 0.515)
Nb (0.671, 0.671, 0.986)
C (0.084, 0.084, 0.748)
C (0.250, 0.250, 0.251)